Computed, not measured: HfS2Br after structural relaxation at the GGA-PBEsol level of DFT.

Cell and atoms, written as CIF:
```
data_HfS2Br
_cell_length_a 3.612
_cell_length_b 3.612
_cell_length_c 8.198
_cell_angle_alpha 77.28
_cell_angle_beta 77.28
_cell_angle_gamma 60.00
_symmetry_space_group_name_H-M 'P 1'
_symmetry_Int_Tables_number 1
_symmetry_space_group_name_Hall 'P 1'
loop_
_atom_site_label
_atom_site_fract_x
_atom_site_fract_y
_atom_site_fract_z
S1 0.894 0.894 0.318
S2 0.106 0.106 0.682
Hf1 0.500 0.500 0.500
Br1 0.000 0.000 0.000
```

Computed properties:
V = 22.39 A^3/atom
energy relative to the elements, uncorrected = -4.10 eV per formula unit


Computed, not measured: HfS2Br after structural relaxation at the GGA-PBEsol level of DFT.

Cell and atoms, written as CIF:
```
data_HfS2Br
_cell_length_a 4.627
_cell_length_b 4.627
_cell_length_c 4.627
_cell_angle_alpha 60.00
_cell_angle_beta 60.00
_cell_angle_gamma 60.00
_symmetry_space_group_name_H-M 'P 1'
_symmetry_Int_Tables_number 1
_symmetry_space_group_name_Hall 'P 1'
loop_
_atom_site_label
_atom_site_fract_x
_atom_site_fract_y
_atom_site_fract_z
S1 0.250 0.250 0.250
S2 0.750 0.750 0.750
Br1 0.000 0.000 0.000
Hf1 0.500 0.500 0.500
```

Computed properties:
V = 17.51 A^3/atom
energy relative to the elements, uncorrected = -1.63 eV per formula unit


Computed, not measured: HfS3Br after structural relaxation at the GGA-PBEsol level of DFT.

Cell and atoms, written as CIF:
```
data_HfS3Br
_cell_length_a 4.675
_cell_length_b 4.675
_cell_length_c 4.675
_cell_angle_alpha 90.00
_cell_angle_beta 90.00
_cell_angle_gamma 90.00
_symmetry_space_group_name_H-M 'P 1'
_symmetry_Int_Tables_number 1
_symmetry_space_group_name_Hall 'P 1'
loop_
_atom_site_label
_atom_site_fract_x
_atom_site_fract_y
_atom_site_fract_z
Br1 0.000 0.000 0.000
S1 0.500 0.000 0.000
S2 0.000 0.500 0.000
S3 0.000 0.000 0.500
Hf1 0.500 0.500 0.500
```

Computed properties:
V = 20.44 A^3/atom
energy relative to the elements, uncorrected = 3.75 eV per formula unit


Computed, not measured: HfSeSBr2 after structural relaxation at the GGA-PBEsol level of DFT.

Cell and atoms, written as CIF:
```
data_HfSeSBr2
_cell_length_a 4.993
_cell_length_b 4.857
_cell_length_c 4.857
_cell_angle_alpha 90.00
_cell_angle_beta 90.00
_cell_angle_gamma 90.00
_symmetry_space_group_name_H-M 'P 1'
_symmetry_Int_Tables_number 1
_symmetry_space_group_name_Hall 'P 1'
loop_
_atom_site_label
_atom_site_fract_x
_atom_site_fract_y
_atom_site_fract_z
S1 0.000 0.000 0.000
Se1 0.500 0.000 0.000
Hf1 0.500 0.500 0.500
Br1 0.000 0.500 0.000
Br2 0.000 0.000 0.500
```

Computed properties:
V = 23.56 A^3/atom
energy relative to the elements, uncorrected = 2.86 eV per formula unit


Computed, not measured: Hf2SbBr after structural relaxation at the GGA-PBEsol level of DFT.

Cell and atoms, written as CIF:
```
data_Hf2SbBr
_cell_length_a 4.853
_cell_length_b 4.853
_cell_length_c 4.853
_cell_angle_alpha 60.00
_cell_angle_beta 60.00
_cell_angle_gamma 60.00
_symmetry_space_group_name_H-M 'P 1'
_symmetry_Int_Tables_number 1
_symmetry_space_group_name_Hall 'P 1'
loop_
_atom_site_label
_atom_site_fract_x
_atom_site_fract_y
_atom_site_fract_z
Br1 0.000 0.000 0.000
Hf1 0.250 0.250 0.250
Hf2 0.750 0.750 0.750
Sb1 0.500 0.500 0.500
```

Computed properties:
V = 20.20 A^3/atom
energy relative to the elements, uncorrected = -1.64 eV per formula unit


Computed, not measured: HfScBr2 after structural relaxation at the GGA-PBEsol level of DFT.

Cell and atoms, written as CIF:
```
data_HfScBr2
_cell_length_a 3.317
_cell_length_b 3.317
_cell_length_c 9.600
_cell_angle_alpha 80.05
_cell_angle_beta 80.05
_cell_angle_gamma 60.00
_symmetry_space_group_name_H-M 'P 1'
_symmetry_Int_Tables_number 1
_symmetry_space_group_name_Hall 'P 1'
loop_
_atom_site_label
_atom_site_fract_x
_atom_site_fract_y
_atom_site_fract_z
Sc1 0.000 0.000 0.000
Br1 0.903 0.903 0.291
Br2 0.097 0.097 0.709
Hf1 0.500 0.500 0.500
```

Computed properties:
V = 22.41 A^3/atom
energy relative to the elements, uncorrected = -2.31 eV per formula unit


Computed, not measured: Hf3ScBr after structural relaxation at the GGA-PBEsol level of DFT.

Cell and atoms, written as CIF:
```
data_Hf3ScBr
_cell_length_a 4.887
_cell_length_b 4.887
_cell_length_c 4.887
_cell_angle_alpha 90.00
_cell_angle_beta 90.00
_cell_angle_gamma 90.00
_symmetry_space_group_name_H-M 'P 1'
_symmetry_Int_Tables_number 1
_symmetry_space_group_name_Hall 'P 1'
loop_
_atom_site_label
_atom_site_fract_x
_atom_site_fract_y
_atom_site_fract_z
Hf1 0.000 0.500 0.000
Hf2 0.500 0.000 0.000
Hf3 0.000 0.000 0.500
Sc1 0.500 0.500 0.500
Br1 0.000 0.000 0.000
```

Computed properties:
V = 23.34 A^3/atom
energy relative to the elements, uncorrected = 1.79 eV per formula unit


Computed, not measured: HfScBr2 after structural relaxation at the GGA-PBEsol level of DFT.

Cell and atoms, written as CIF:
```
data_HfScBr2
_cell_length_a 4.739
_cell_length_b 4.739
_cell_length_c 4.739
_cell_angle_alpha 60.00
_cell_angle_beta 60.00
_cell_angle_gamma 60.00
_symmetry_space_group_name_H-M 'P 1'
_symmetry_Int_Tables_number 1
_symmetry_space_group_name_Hall 'P 1'
loop_
_atom_site_label
_atom_site_fract_x
_atom_site_fract_y
_atom_site_fract_z
Br1 0.750 0.750 0.750
Br2 0.250 0.250 0.250
Sc1 0.000 0.000 0.000
Hf1 0.500 0.500 0.500
```

Computed properties:
V = 18.82 A^3/atom
energy relative to the elements, uncorrected = -1.30 eV per formula unit


Computed, not measured: HfScSeBr2 after structural relaxation at the GGA-PBEsol level of DFT.

Cell and atoms, written as CIF:
```
data_HfScSeBr2
_cell_length_a 5.032
_cell_length_b 5.032
_cell_length_c 5.189
_cell_angle_alpha 90.00
_cell_angle_beta 90.00
_cell_angle_gamma 90.00
_symmetry_space_group_name_H-M 'P 1'
_symmetry_Int_Tables_number 1
_symmetry_space_group_name_Hall 'P 1'
loop_
_atom_site_label
_atom_site_fract_x
_atom_site_fract_y
_atom_site_fract_z
Br1 0.000 0.500 0.000
Br2 0.500 0.000 0.000
Se1 0.000 0.000 0.500
Sc1 0.000 0.000 0.000
Hf1 0.500 0.500 0.500
```

Computed properties:
V = 26.28 A^3/atom
energy relative to the elements, uncorrected = -1.23 eV per formula unit


Computed, not measured: HfScSe2Br after structural relaxation at the GGA-PBEsol level of DFT.

Cell and atoms, written as CIF:
```
data_HfScSe2Br
_cell_length_a 5.044
_cell_length_b 5.107
_cell_length_c 5.107
_cell_angle_alpha 90.00
_cell_angle_beta 90.00
_cell_angle_gamma 90.00
_symmetry_space_group_name_H-M 'P 1'
_symmetry_Int_Tables_number 1
_symmetry_space_group_name_Hall 'P 1'
loop_
_atom_site_label
_atom_site_fract_x
_atom_site_fract_y
_atom_site_fract_z
Br1 0.500 0.000 0.000
Hf1 0.000 0.000 0.000
Se1 0.000 0.500 0.000
Se2 0.000 0.000 0.500
Sc1 0.500 0.500 0.500
```

Computed properties:
V = 26.31 A^3/atom
energy relative to the elements, uncorrected = -2.89 eV per formula unit


Computed, not measured: SrHfSc2Br after structural relaxation at the GGA-PBEsol level of DFT.

Cell and atoms, written as CIF:
```
data_SrHfSc2Br
_cell_length_a 5.106
_cell_length_b 5.106
_cell_length_c 5.111
_cell_angle_alpha 90.00
_cell_angle_beta 90.00
_cell_angle_gamma 90.00
_symmetry_space_group_name_H-M 'P 1'
_symmetry_Int_Tables_number 1
_symmetry_space_group_name_Hall 'P 1'
loop_
_atom_site_label
_atom_site_fract_x
_atom_site_fract_y
_atom_site_fract_z
Sc1 0.500 0.000 0.000
Sc2 0.000 0.500 0.000
Br1 0.000 0.000 0.000
Sr1 0.500 0.500 0.500
Hf1 0.000 0.000 0.500
```

Computed properties:
V = 26.65 A^3/atom
energy relative to the elements, uncorrected = 0.56 eV per formula unit


Computed, not measured: HfTcSeBr2 after structural relaxation at the GGA-PBEsol level of DFT.

Cell and atoms, written as CIF:
```
data_HfTcSeBr2
_cell_length_a 5.113
_cell_length_b 5.159
_cell_length_c 5.159
_cell_angle_alpha 90.00
_cell_angle_beta 90.00
_cell_angle_gamma 90.00
_symmetry_space_group_name_H-M 'P 1'
_symmetry_Int_Tables_number 1
_symmetry_space_group_name_Hall 'P 1'
loop_
_atom_site_label
_atom_site_fract_x
_atom_site_fract_y
_atom_site_fract_z
Br1 0.000 0.500 0.000
Br2 0.000 0.000 0.500
Hf1 0.000 0.000 0.000
Se1 0.500 0.000 0.000
Tc1 0.500 0.500 0.500
```

Computed properties:
V = 27.22 A^3/atom
energy relative to the elements, uncorrected = 2.18 eV per formula unit


Question: Which of these has the highest energy relative to the elements, uncorrected?
Answer: HfS3Br


Question: The highest energy relative to the elements, uncorrected belongs to which entry?
Answer: HfS3Br


Question: What is the V in the tenth record?
Answer: 26.31 A^3/atom